No. 1
Entry from the Alexandria database: a geometry-optimized LuCuBi2 structure (PBE-GGA).

Computed properties:
- E_tot (eV per atom) = -3.894
- M_tot (μB per atom) = 0.00
- SG = R-3m (166)

Cell lengths 3.5219, 3.5219, 10.4431 Å; angles 80.29, 80.29, 60.00 degrees
Sites, in units of the cell vectors:
Lu 0.0000 0.0000 0.0000
Bi 0.1018 0.1018 0.6947
Bi 0.8982 0.8982 0.3053
Cu 0.5000 0.5000 0.5000

***

No. 2
Entry from the Alexandria database: a geometry-optimized Lu2CuBi structure (PBE-GGA).

Computed properties:
- E_tot (eV per atom) = -4.559
- M_tot (μB per atom) = 0.00
- SG = P4/mmm (123)

Cell lengths 3.6421, 3.6421, 7.2174 Å; angles 90.00, 90.00, 90.00 degrees
Sites, in units of the cell vectors:
Lu 0.0000 0.0000 0.7802
Lu 0.0000 0.0000 0.2198
Bi 0.5000 0.5000 0.5000
Cu 0.5000 0.5000 0.0000

***

No. 3
Entry from the Alexandria database: a geometry-optimized LuCu4Bi structure (PBE-GGA).

Computed properties:
- E_tot (eV per atom) = -4.246
- M_tot (μB per atom) = 0.00
- SG = F-43m (216)

Cell lengths 5.2306, 5.2306, 5.2306 Å; angles 60.00, 60.00, 60.00 degrees
Sites, in units of the cell vectors:
Lu 0.2500 0.2500 0.2500
Bi 0.0000 0.0000 0.0000
Cu 0.6241 0.6241 0.1276
Cu 0.6241 0.1276 0.6241
Cu 0.6241 0.6241 0.6241
Cu 0.1276 0.6241 0.6241

***

No. 4
Entry from the Alexandria database: a geometry-optimized LuCuBiPd structure (PBE-GGA).

Computed properties:
- E_tot (eV per atom) = -4.858
- M_tot (μB per atom) = 0.00
- SG = F-43m (216)

Cell lengths 4.8342, 4.8342, 4.8342 Å; angles 60.00, 60.00, 60.00 degrees
Sites, in units of the cell vectors:
Lu 0.7500 0.7500 0.7500
Bi 0.2500 0.2500 0.2500
Pd 0.0000 0.0000 0.0000
Cu 0.5000 0.5000 0.5000

***

No. 5
Entry from the Alexandria database: a geometry-optimized Mg2CuBi2 structure (PBE-GGA).

Computed properties:
- E_tot (eV per atom) = -2.887
- M_tot (μB per atom) = 0.00
- relative energy among the computed polymorphs (meV per atom) = 15.7
- SG = P4/mbm (127)

Cell lengths 7.1858, 7.1858, 4.7657 Å; angles 90.00, 90.00, 90.00 degrees
Sites, in units of the cell vectors:
Mg 0.3447 0.8447 0.0000
Mg 0.8447 0.6553 0.0000
Mg 0.6553 0.1553 0.0000
Mg 0.1553 0.3447 0.0000
Bi 0.1608 0.6608 0.5000
Bi 0.6608 0.8392 0.5000
Bi 0.8392 0.3392 0.5000
Bi 0.3392 0.1608 0.5000
Cu 0.0000 0.0000 0.0000
Cu 0.5000 0.5000 0.0000

***

No. 6
Entry from the Alexandria database: a geometry-optimized Mg2Cu2Bi structure (PBE-GGA).

Computed properties:
- E_tot (eV per atom) = -3.085
- M_tot (μB per atom) = 0.00
- relative energy among the computed polymorphs (meV per atom) = 0.0
- SG = P4/mbm (127)

Cell lengths 7.4363, 7.4363, 3.4672 Å; angles 90.00, 90.00, 90.00 degrees
Sites, in units of the cell vectors:
Mg 0.1629 0.6629 0.5000
Mg 0.6629 0.8371 0.5000
Mg 0.8371 0.3371 0.5000
Mg 0.3371 0.1629 0.5000
Bi 0.0000 0.0000 0.0000
Bi 0.5000 0.5000 0.0000
Cu 0.3804 0.8804 0.0000
Cu 0.8804 0.6196 0.0000
Cu 0.6196 0.1196 0.0000
Cu 0.1196 0.3804 0.0000